MgZnGe2Br, PBEsol geometry, DFT meta-GGA SCAN; DOS at the Fermi energy = 2.6 states/eV/cell; V = 26.5 Å³ per atom; DFT total energy = -14.2676 eV/atom; space-group type = P4/mmm
1.0
-3.146 0.425 -3.875
-1.908 -4.666 1.037
-3.521 2.127 3.092
Zn Br Ge Mg
1 1 2 1
Cartesian
-4.288 -1.057 0.127
0.000 0.000 0.000
-1.761 1.064 1.546
-0.954 -2.333 0.519
-1.573 0.212 -1.938



Mn2Ge2Br, PBEsol geometry, DFT meta-GGA SCAN; DOS at the Fermi energy = 2.5 states/eV/cell; V = 17.1 Å³ per atom; DFT total energy = -18.8604 eV/atom; space-group type = I4/mmm
1.0
3.691 0.000 0.000
0.000 3.691 0.000
-1.846 -1.846 6.285
Mn Br Ge
2 1 2
Cartesian
0.000 0.000 4.938
1.846 1.846 1.346
0.000 0.000 0.000
0.000 1.846 3.142
1.846 0.000 3.142



MnGeSe2Br, PBEsol geometry, DFT meta-GGA SCAN; DOS at the Fermi energy = 1.1 states/eV/cell; V = 22.5 Å³ per atom; DFT total energy = -19.4289 eV/atom; space-group type = P4/mmm
1.0
4.787 0.000 0.000
0.000 4.852 0.000
0.000 0.000 4.852
Ge Mn Se Br
1 1 2 1
Cartesian
2.393 2.426 2.426
0.000 0.000 0.000
0.000 2.426 0.000
0.000 0.000 2.426
2.393 0.000 0.000